TcBiSCl2: relaxed, PBE-GGA.

Geometry as CIF:
```
data_TcBiSCl2
_space_group_name_H-M_alt 'P 4/m m m'
_space_group_IT_number 123
_space_group_name_Hall '-P 4 2'
_cell_length_a 5.4012
_cell_length_b 5.4012
_cell_length_c 5.4207
_cell_angle_alpha 90.00
_cell_angle_beta 90.00
_cell_angle_gamma 90.00
loop_
_atom_site_label
_atom_site_fract_x
_atom_site_fract_y
_atom_site_fract_z
_atom_site_occupancy
Tc1 0.0000 0.0000 0.0000 1
Bi1 0.5000 0.5000 0.5000 1
S1 0.5000 0.5000 0.0000 1
Cl1 0.0000 0.5000 0.5000 1
```

Calculated values
The calculation puts the final energy at -0.13916 Ha/atom. The value obtained for the energy above the most stable polymorph in this dataset is 0.539 eV/atom. For the raw formation energy, the calculation gives 0.6268 eV/atom.

=====

PuHf2RhN4: relaxed, PBE-GGA.

Geometry as CIF:
```
data_PuHf2RhN4
_space_group_name_H-M_alt 'C m c m'
_space_group_IT_number 63
_space_group_name_Hall '-C 2c 2'
_cell_length_a 3.1965
_cell_length_b 11.1433
_cell_length_c 11.3585
_cell_angle_alpha 90.00
_cell_angle_beta 90.00
_cell_angle_gamma 90.00
loop_
_atom_site_label
_atom_site_fract_x
_atom_site_fract_y
_atom_site_fract_z
_atom_site_occupancy
Pu1 0.0000 0.1182 0.2500 1
Hf1 0.0000 0.3694 0.0501 1
Rh1 0.0000 0.1470 0.7500 1
N1 0.0000 0.0000 0.0000 1
N2 0.0000 0.2717 0.6091 1
N3 0.0000 0.4715 0.2500 1
```

Calculated values
The calculation puts the final energy at -0.38521 Ha/atom. For the raw formation energy, the calculation gives -1.1206 eV/atom.

=====

Ho2ZrNi: relaxed, PBE-GGA.

Geometry as CIF:
```
data_Ho2ZrNi
_space_group_name_H-M_alt 'R -3 m'
_space_group_IT_number 166
_space_group_name_Hall '-R 3 2"'
_cell_length_a 3.3377
_cell_length_b 3.3377
_cell_length_c 30.5505
_cell_angle_alpha 90.00
_cell_angle_beta 90.00
_cell_angle_gamma 120.00
loop_
_atom_site_label
_atom_site_fract_x
_atom_site_fract_y
_atom_site_fract_z
_atom_site_occupancy
Ho1 0.0000 0.0000 0.1048 1
Zr1 0.0000 0.0000 0.0000 1
Ni1 0.0000 0.0000 0.5000 1
```

Calculated values
The calculation puts the final energy at -0.20778 Ha/atom. The value obtained for the energy above the most stable polymorph in this dataset is 0.360 eV/atom.

=====

MnFeBr2: relaxed, PBE-GGA.

Geometry as CIF:
```
data_MnFeBr2
_space_group_name_H-M_alt 'F -4 3 m'
_space_group_IT_number 216
_space_group_name_Hall 'F -4 2 3'
_cell_length_a 6.8685
_cell_length_b 6.8685
_cell_length_c 6.8685
_cell_angle_alpha 90.00
_cell_angle_beta 90.00
_cell_angle_gamma 90.00
loop_
_atom_site_label
_atom_site_fract_x
_atom_site_fract_y
_atom_site_fract_z
_atom_site_occupancy
Mn1 0.0000 0.0000 0.0000 1
Fe1 0.2500 0.2500 0.2500 1
Br1 0.0000 0.0000 0.5000 1
Br2 0.2500 0.2500 0.7500 1
```

Calculated values
The calculation puts the final energy at -0.16320 Ha/atom. The value obtained for the energy above the most stable polymorph in this dataset is 0.854 eV/atom. For the raw formation energy, the calculation gives 0.8037 eV/atom.

=====

LiZn5Pd4: relaxed, PBE-GGA.

Geometry as CIF:
```
data_LiZn5Pd4
_space_group_name_H-M_alt 'P 4/m m m'
_space_group_IT_number 123
_space_group_name_Hall '-P 4 2'
_cell_length_a 3.0852
_cell_length_b 3.0852
_cell_length_c 15.0908
_cell_angle_alpha 90.00
_cell_angle_beta 90.00
_cell_angle_gamma 90.00
loop_
_atom_site_label
_atom_site_fract_x
_atom_site_fract_y
_atom_site_fract_z
_atom_site_occupancy
Li1 0.0000 0.0000 0.0000 1
Zn1 0.5000 0.5000 0.0970 1
Zn2 0.5000 0.5000 0.2987 1
Zn3 0.5000 0.5000 0.5000 1
Pd1 0.0000 0.0000 0.1978 1
Pd2 0.0000 0.0000 0.3998 1
```

Calculated values
The calculation puts the final energy at -0.12441 Ha/atom.

=====

Sr3CaAu: relaxed, PBE-GGA.

Geometry as CIF:
```
data_Sr3CaAu
_space_group_name_H-M_alt 'P m -3 m'
_space_group_IT_number 221
_space_group_name_Hall '-P 4 2 3'
_cell_length_a 6.1489
_cell_length_b 6.1489
_cell_length_c 6.1489
_cell_angle_alpha 90.00
_cell_angle_beta 90.00
_cell_angle_gamma 90.00
loop_
_atom_site_label
_atom_site_fract_x
_atom_site_fract_y
_atom_site_fract_z
_atom_site_occupancy
Sr1 0.0000 0.0000 0.5000 1
Ca1 0.5000 0.5000 0.5000 1
Au1 0.0000 0.0000 0.0000 1
```

Calculated values
The calculation puts the final energy at -0.08724 Ha/atom. The value obtained for the energy above the most stable polymorph in this dataset is 0.040 eV/atom.

=====

VGeC2: relaxed, PBE-GGA.

Geometry as CIF:
```
data_VGeC2
_space_group_name_H-M_alt 'I -4 2 d'
_space_group_IT_number 122
_space_group_name_Hall 'I -4 2bw'
_cell_length_a 4.6571
_cell_length_b 4.6571
_cell_length_c 8.9558
_cell_angle_alpha 90.00
_cell_angle_beta 90.00
_cell_angle_gamma 90.00
loop_
_atom_site_label
_atom_site_fract_x
_atom_site_fract_y
_atom_site_fract_z
_atom_site_occupancy
V1 0.0000 0.0000 0.0000 1
Ge1 0.0000 0.0000 0.5000 1
C1 0.2438 0.2500 0.1250 1
```

Calculated values
The calculation puts the final energy at -0.27673 Ha/atom.

=====

Li2SiPt: relaxed, PBE-GGA.

Geometry as CIF:
```
data_Li2SiPt
_space_group_name_H-M_alt 'P 1 2/m 1'
_space_group_IT_number 10
_cell_length_a 2.7533
_cell_length_b 4.0467
_cell_length_c 4.9630
_cell_angle_alpha 90.00
_cell_angle_beta 91.46
_cell_angle_gamma 90.00
loop_
_space_group_symop_operation_xyz
'x,y,z'
'-x,-y,-z'
'-x,y,-z'
'x,-y,z'
loop_
_atom_site_label
_atom_site_fract_x
_atom_site_fract_y
_atom_site_fract_z
_atom_site_occupancy
Li1 0.0015 0.0000 0.2540 1
Si1 0.5000 0.5000 0.0000 1
Pt1 0.5000 0.5000 0.5000 1
```

Calculated values
The calculation puts the final energy at -0.15760 Ha/atom. For the raw formation energy, the calculation gives -0.4656 eV/atom.

=====

Number 1: magnetization 5.14 μB/cell. Number 2: magnetization 16.84 μB/cell. Number 3: magnetization 0.00 μB/cell. Number 4: magnetization 29.18 μB/cell. Number 5: magnetization 0.00 μB/cell. Number 6: magnetization 0.00 μB/cell. Number 7: magnetization 0.02 μB/cell. Number 8: magnetization 0.00 μB/cell.